[1]
PBE PmTm3Tl3, optimized geometry; uncorrected energy = -3.84 eV/atom; N(E_F) = 31.50 states/eV per cell; energy relative to the elements = -0.2279 eV per atom; SG = P2_13, No. 198
1.0
9.311 0.000 0.000
0.000 9.311 0.000
0.000 0.000 9.311
Pm Tm Tl
4 12 12
Cartesian
0.585 4.070 5.241
4.070 5.241 0.585
5.241 0.585 4.070
8.726 8.726 8.726
0.861 5.516 8.450
1.640 1.640 1.640
1.716 7.595 2.939
2.939 1.716 7.595
3.015 7.671 6.296
3.794 3.794 3.794
5.516 8.450 0.861
6.296 3.015 7.671
6.372 6.372 6.372
7.595 2.939 1.716
7.671 6.296 3.015
8.450 0.861 5.516
0.004 2.519 8.261
9.307 7.175 5.706
1.050 4.660 2.136
2.136 1.050 4.660
2.519 8.261 0.004
3.605 4.651 6.791
4.660 2.136 1.050
4.651 6.791 3.605
5.706 9.307 7.175
6.791 3.605 4.651
7.175 5.706 9.307
8.261 0.004 2.519

=====

[2]
PBE PmTm6Tl2, optimized geometry; uncorrected energy = -4.17 eV/atom; N(E_F) = 11.82 states/eV per cell; energy relative to the elements = -0.1370 eV per atom; SG = C2/m, No. 12
1.0
6.308 -1.854 0.000
6.308 1.854 0.000
-3.658 0.000 11.355
Pm Tm Tl
1 6 2
Cartesian
0.000 0.000 0.000
-1.134 0.000 3.962
2.385 0.000 4.755
3.492 0.000 1.431
5.466 0.000 9.923
6.574 0.000 6.599
10.092 0.000 7.393
1.643 0.000 8.890
7.315 0.000 2.465

=====

[3]
PBE PmTm6Tl, optimized geometry; uncorrected energy = -4.30 eV/atom; N(E_F) = 9.41 states/eV per cell; energy relative to the elements = -0.0540 eV per atom; SG = Amm2, No. 38
1.0
5.379 0.000 0.000
0.000 1.776 12.532
0.000 -1.776 12.532
Pm Tm Tl
1 6 1
Cartesian
0.000 0.000 0.000
0.000 0.000 6.107
0.000 0.000 15.597
0.000 0.000 21.722
2.690 0.000 2.000
2.690 0.000 11.156
2.690 0.000 17.580
2.690 0.000 7.952

=====

[4]
PBE Pm8Tm3Tl, optimized geometry; uncorrected energy = -4.01 eV/atom; N(E_F) = 16.27 states/eV per cell; energy relative to the elements = 0.4720 eV per atom; SG = I-42m, No. 121
1.0
-4.333 4.333 5.776
4.333 -4.333 5.776
4.333 4.333 -5.776
Pm Tm Tl
8 3 1
Cartesian
3.222 3.222 -2.949
2.107 2.107 -0.274
2.226 -2.226 6.051
1.111 1.111 2.827
1.111 -1.111 8.726
2.226 2.226 5.502
-2.226 2.226 6.051
-1.111 1.111 8.726
0.000 0.000 0.000
4.333 0.000 2.888
0.000 4.333 2.888
0.000 0.000 5.776